This record from OQMD describes ErAuSO after structural relaxation. The functional is GGA-PBE.

```
data_ErAuSO
_cell_length_a 5.5955
_cell_length_b 5.5878
_cell_length_c 10.6656
_cell_angle_alpha 90.00
_cell_angle_beta 91.71
_cell_angle_gamma 90.00
_space_group_name_H-M_alt 'P 1'
_space_group_IT_number 1
_space_group_name_Hall 'P 1'
loop_
_atom_site_label
_atom_site_fract_x
_atom_site_fract_y
_atom_site_fract_z
Er1 0.0050 0.0000 0.0979
Er2 0.4950 0.0006 0.9018
Er3 0.5050 0.5006 0.0982
Er4 0.9950 0.5000 0.9021
Au1 0.0021 0.0203 0.7217
Au2 0.3159 0.2737 0.5030
Au3 0.6841 0.7737 0.4970
Au4 0.9979 0.5203 0.2783
S1 0.2945 0.2294 0.2871
S2 0.3005 0.3116 0.7188
S3 0.6995 0.8116 0.2812
S4 0.7055 0.7294 0.7129
O1 0.2487 0.2493 0.0014
O2 0.2516 0.7495 0.9997
O3 0.7484 0.2495 0.0003
O4 0.7513 0.7493 0.9986
```

This record from OQMD describes ErAuSO after structural relaxation. The functional is GGA-PBE.

```
data_ErAuSO
_cell_length_a 5.5473
_cell_length_b 9.0652
_cell_length_c 5.5644
_cell_angle_alpha 90.00
_cell_angle_beta 90.00
_cell_angle_gamma 90.00
_space_group_name_H-M_alt 'P 1'
_space_group_IT_number 1
_space_group_name_Hall 'P 1'
loop_
_atom_site_label
_atom_site_fract_x
_atom_site_fract_y
_atom_site_fract_z
Er1 0.0000 0.1190 0.2500
Er2 0.0000 0.8810 0.7500
Er3 0.5000 0.1190 0.7500
Er4 0.5000 0.8810 0.2500
Au1 0.2500 0.5000 0.2479
Au2 0.2500 0.5000 0.7479
Au3 0.7500 0.5000 0.2521
Au4 0.7500 0.5000 0.7521
S1 0.0000 0.2811 0.7500
S2 0.0000 0.7189 0.2500
S3 0.5000 0.2811 0.2500
S4 0.5000 0.7189 0.7500
O1 0.2500 0.0000 0.4993
O2 0.2500 0.0000 0.9993
O3 0.7500 0.0000 0.0007
O4 0.7500 0.0000 0.5007
```

This record from OQMD describes ErAuSO after structural relaxation. The functional is GGA-PBE.

```
data_ErAuSO
_cell_length_a 3.8827
_cell_length_b 3.8827
_cell_length_c 8.9441
_cell_angle_alpha 90.00
_cell_angle_beta 90.00
_cell_angle_gamma 90.00
_space_group_name_H-M_alt 'P 1'
_space_group_IT_number 1
_space_group_name_Hall 'P 1'
loop_
_atom_site_label
_atom_site_fract_x
_atom_site_fract_y
_atom_site_fract_z
Er1 0.2500 0.2500 0.1229
Er2 0.7500 0.7500 0.8771
Au1 0.2500 0.7500 0.5000
Au2 0.7500 0.2500 0.5000
S1 0.2500 0.2500 0.7181
S2 0.7500 0.7500 0.2819
O1 0.2500 0.7500 0.0000
O2 0.7500 0.2500 0.0000
```

This record from OQMD describes ErAuSO after structural relaxation. The functional is GGA-PBE.

```
data_ErAuSO
_cell_length_a 5.5450
_cell_length_b 5.5613
_cell_length_c 9.0470
_cell_angle_alpha 90.00
_cell_angle_beta 90.00
_cell_angle_gamma 90.00
_space_group_name_H-M_alt 'P 1'
_space_group_IT_number 1
_space_group_name_Hall 'P 1'
loop_
_atom_site_label
_atom_site_fract_x
_atom_site_fract_y
_atom_site_fract_z
Er1 0.0000 0.0000 0.0000
Er2 0.0000 0.5000 0.2384
Er3 0.5000 0.0000 0.2384
Er4 0.5000 0.5000 0.0000
Au1 0.2499 0.0132 0.6186
Au2 0.2501 0.5132 0.6186
Au3 0.7499 0.4868 0.6186
Au4 0.7501 0.9868 0.6186
S1 0.0000 0.0000 0.3992
S2 0.0000 0.5000 0.8380
S3 0.5000 0.0000 0.8380
S4 0.5000 0.5000 0.3992
O1 0.2500 0.2496 0.1193
O2 0.2500 0.7496 0.1193
O3 0.7500 0.2504 0.1193
O4 0.7500 0.7504 0.1193
```

This record from OQMD describes ErAuSO after structural relaxation. The functional is GGA-PBE.

```
data_ErAuSO
_cell_length_a 9.2863
_cell_length_b 5.3510
_cell_length_c 5.5423
_cell_angle_alpha 90.00
_cell_angle_beta 90.00
_cell_angle_gamma 90.00
_space_group_name_H-M_alt 'P 1'
_space_group_IT_number 1
_space_group_name_Hall 'P 1'
loop_
_atom_site_label
_atom_site_fract_x
_atom_site_fract_y
_atom_site_fract_z
Er1 0.1192 0.0060 0.2500
Er2 0.1192 0.4940 0.7500
Er3 0.8808 0.5060 0.2500
Er4 0.8808 0.9940 0.7500
Au1 0.4402 0.2500 0.0000
Au2 0.4402 0.2500 0.5000
Au3 0.5598 0.7500 0.0000
Au4 0.5598 0.7500 0.5000
S1 0.2803 0.5245 0.2500
S2 0.2803 0.9755 0.7500
S3 0.7197 0.0245 0.2500
S4 0.7197 0.4755 0.7500
O1 0.0025 0.7500 0.0000
O2 0.0025 0.7500 0.5000
O3 0.9975 0.2500 0.0000
O4 0.9975 0.2500 0.5000
```

This record from OQMD describes ErAuSO after structural relaxation. The functional is GGA-PBE.

```
data_ErAuSO
_cell_length_a 9.0838
_cell_length_b 3.9277
_cell_length_c 3.9277
_cell_angle_alpha 89.80
_cell_angle_beta 90.00
_cell_angle_gamma 90.00
_space_group_name_H-M_alt 'P 1'
_space_group_IT_number 1
_space_group_name_Hall 'P 1'
loop_
_atom_site_label
_atom_site_fract_x
_atom_site_fract_y
_atom_site_fract_z
Er1 0.1184 0.2500 0.7500
Er2 0.8816 0.7500 0.2500
Au1 0.5000 0.0011 0.0011
Au2 0.5000 0.5011 0.5011
S1 0.2816 0.7511 0.2511
S2 0.7184 0.2511 0.7511
O1 0.0000 0.2501 0.2501
O2 0.0000 0.7501 0.7501
```

Distance to the lowest polymorph of the same formula, record by record: 0.00 0.23 0.73 0.23 0.63 0.23 eV/f.u.
Total DFT energy (no corrections), record by record: -6.21 -6.15 -6.03 -6.15 -6.05 -6.15 eV/atom